[1]
The following is a DFT calculation (PBE-GGA) of a relaxed structure of DyAsPt.

The structure belongs to space group I4mm (No. 107); the cell edges are 3.890, 3.890 and 8.374 Å and the angles 90.00°, 90.00° and 90.00°. Symmetry generates all atoms from Dy at (0.000, 0.000, 0.000), As at (0.000, 0.000, 0.663) and Pt at (0.000, 0.000, 0.360).

The value obtained for the energy relative to the elements is -0.81 eV/atom. For the calculated volume, the calculation gives 21.1 A^3/atom. The total energy is -5.910 eV per atom. As for the total moment: 0.00 μB/cell.



[2]
The following is a DFT calculation (PBE-GGA) of a relaxed structure of Be2Cu2Sn.

The structure belongs to space group P4/mbm (No. 127); the cell edges are 6.944, 6.944 and 2.753 Å and the angles 90.00°, 90.00° and 90.00°. Symmetry generates all atoms from Be at (0.163, 0.337, 0.000), Cu at (0.127, 0.627, 0.500) and Sn at (0.000, 0.000, 0.500).

The value obtained for the energy relative to the elements is 0.26 eV/atom. The value obtained for the energy above the most stable polymorph in this dataset is 58 meV/atom. For the calculated volume, the calculation gives 13.3 A^3/atom. The total energy is -3.667 eV per atom. As for the total moment: 0.00 μB/cell.



[3]
The following is a DFT calculation (PBE-GGA) of a relaxed structure of BaLiAg3.

The structure belongs to space group Pm-3m (No. 221); the cell edges are 6.239, 6.239 and 6.239 Å and the angles 90.00°, 90.00° and 90.00°. Symmetry generates all atoms from Ba at (0.000, 0.000, 0.000), Li at (0.500, 0.500, 0.500) and Ag at (0.000, 0.000, 0.500).

The value obtained for the energy relative to the elements is 0.70 eV/atom. The value obtained for the energy above the most stable polymorph in this dataset is 862 meV/atom. For the calculated volume, the calculation gives 48.6 A^3/atom. The total energy is -1.776 eV per atom. As for the total moment: 0.00 μB/cell.



[4]
The following is a DFT calculation (PBE-GGA) of a relaxed structure of Ca2LaFe.

The structure belongs to space group Cmm2 (No. 35); the cell edges are 5.150, 5.158 and 9.387 Å and the angles 90.00°, 90.00° and 90.00°. Symmetry generates all atoms from Ca at (0.000, 0.000, 0.000), Ca at (0.000, 0.500, 0.321), La at (0.000, 0.000, 0.643) and Fe at (0.000, 0.500, 0.801).

The value obtained for the energy relative to the elements is 0.22 eV/atom. The value obtained for the energy above the most stable polymorph in this dataset is 0 meV/atom. For the calculated volume, the calculation gives 31.2 A^3/atom. The total energy is -4.128 eV per atom. As for the total moment: 3.37 μB/cell.



[5]
The following is a DFT calculation (PBE-GGA) of a relaxed structure of LiSc2Pt.

The structure belongs to space group R-3m (No. 166, hexagonal axes); the cell edges are 3.5849, 3.5849 and 25.3170 Å and the angles 90.00°, 90.00° and 120.00°. Symmetry generates all atoms from Li at (0.0000, 0.0000, 0.0000), Sc at (0.0000, 0.0000, 0.2327) and Pt at (0.0000, 0.0000, 0.5000).

The value obtained for the energy relative to the elements is -0.37 eV/atom. The value obtained for the energy above the most stable polymorph in this dataset is 367 meV/atom. For the calculated volume, the calculation gives 23.5 A^3/atom. The total energy is -5.527 eV per atom. As for the total moment: 0.02 μB/cell.



[6]
The following is a DFT calculation (PBE-GGA) of a relaxed structure of NaOs3Pt.

The structure belongs to space group Pm-3m (No. 221); the cell edges are 4.372, 4.372 and 4.372 Å and the angles 90.00°, 90.00° and 90.00°. Symmetry generates all atoms from Na at (0.000, 0.000, 0.000), Os at (0.000, 0.000, 0.500) and Pt at (0.500, 0.500, 0.500).

The value obtained for the energy relative to the elements is 2.97 eV/atom. The value obtained for the energy above the most stable polymorph in this dataset is 605 meV/atom. For the calculated volume, the calculation gives 16.7 A^3/atom. The total energy is -5.236 eV per atom. As for the total moment: 0.00 μB/cell.